Compound: TbPmYTh
Source: the Alexandria database
Functional: GGA-PBE
Structure: relaxed

The structure belongs to space group P4mm (No. 99); the cell edges are 3.589, 3.589 and 10.171 Å and the angles 90.00°, 90.00° and 90.00°. The inequivalent atoms are Tb at (0.000, 0.000, 0.000), Pm at (0.500, 0.500, 0.742), Y at (0.000, 0.000, 0.483) and Th at (0.500, 0.500, 0.240).

As for the total moment: 0.00 μB per cell. The energy above the most stable polymorph in this dataset is 0 kJ/mol of formula units. For the volume, the calculation gives 32.8 A^3/atom. The value obtained for the calculated formation energy is 8 kJ/mol of formula units.

=====

Compound: Tb2Pm2YTh
Source: the Alexandria database
Functional: GGA-PBE
Structure: relaxed

The structure belongs to space group P2_1/m (No. 11); the cell edges are 6.634, 6.835 and 8.837 Å and the angles 90.00°, 96.84° and 90.00°. The inequivalent atoms are Tb at (0.178, 0.000, 0.180), Pm at (0.305, 0.250, 0.842), Pm at (0.435, 0.250, 0.495), Y at (0.329, 0.750, 0.849) and Th at (0.059, 0.750, 0.502).

As for the total moment: 0.00 μB per cell. For the volume, the calculation gives 33.2 A^3/atom. The value obtained for the calculated formation energy is 94 kJ/mol of formula units.

=====

Compound: Tb5Pm2YTh
Source: the Alexandria database
Functional: GGA-PBE
Structure: relaxed

The structure belongs to space group Cmc2_1 (No. 36); the cell edges are 5.745, 21.542 and 9.844 Å and the angles 90.00°, 90.00° and 90.00°. The inequivalent atoms are Tb at (0.000, 0.015, 0.000), Tb at (0.000, 0.271, 0.689), Tb at (0.000, 0.305, 0.299), Tb at (0.000, 0.398, 0.974), Tb at (0.000, 0.470, 0.274), Pm at (0.000, 0.115, 0.688), Pm at (0.000, 0.129, 0.305), Y at (0.000, 0.191, 0.999) and Th at (0.000, 0.405, 0.590).

As for the total moment: 0.00 μB per cell. For the volume, the calculation gives 33.8 A^3/atom. The value obtained for the calculated formation energy is 138 kJ/mol of formula units.

=====

Compound: TbPmYTh2
Source: the Alexandria database
Functional: GGA-PBE
Structure: relaxed

The structure belongs to space group Cmcm (No. 63); the cell edges are 6.675, 15.783 and 6.690 Å and the angles 90.00°, 90.00° and 90.00°. The inequivalent atoms are Tb at (0.000, 0.232, 0.250), Pm at (0.000, 0.349, 0.750), Y at (0.000, 0.153, 0.750) and Th at (0.246, 0.000, 0.000).

As for the total moment: 0.00 μB per cell. For the volume, the calculation gives 35.2 A^3/atom. The value obtained for the calculated formation energy is 201 kJ/mol of formula units.

=====

Compound: Tb2Pm5YTh
Source: the Alexandria database
Functional: GGA-PBE
Structure: relaxed

The structure belongs to space group Cmc2_1 (No. 36); the cell edges are 5.663, 20.558 and 10.572 Å and the angles 90.00°, 90.00° and 90.00°. The inequivalent atoms are Tb at (0.000, 0.113, 0.000), Tb at (0.000, 0.115, 0.575), Pm at (0.000, 0.014, 0.282), Pm at (0.000, 0.275, 0.577), Pm at (0.000, 0.293, 0.969), Pm at (0.000, 0.386, 0.289), Pm at (0.000, 0.482, 0.009), Y at (0.000, 0.405, 0.723) and Th at (0.000, 0.200, 0.276).

As for the total moment: 0.00 μB per cell. For the volume, the calculation gives 34.2 A^3/atom. The value obtained for the calculated formation energy is 137 kJ/mol of formula units.

=====

Compound: Tb6Pm2Y3Th
Source: the Alexandria database
Functional: GGA-PBE
Structure: relaxed

The structure belongs to space group C2/m (No. 12); the cell edges are 6.212, 10.748 and 11.868 Å and the angles 90.00°, 100.02° and 90.00°. The inequivalent atoms are Tb at (0.245, 0.000, 0.250), Tb at (0.249, 0.165, 0.750), Pm at (0.000, 0.333, 0.500), Y at (0.000, 0.167, 0.000), Y at (0.000, 0.500, 0.000) and Th at (0.000, 0.000, 0.500).

As for the total moment: 0.00 μB per cell. For the volume, the calculation gives 32.5 A^3/atom. The value obtained for the calculated formation energy is 33 kJ/mol of formula units.

=====

Compound: Tb2Pm3Y6Th
Source: the Alexandria database
Functional: GGA-PBE
Structure: relaxed

The structure belongs to space group C2/m (No. 12); the cell edges are 6.230, 10.786 and 11.856 Å and the angles 90.00°, 100.09° and 90.00°. The inequivalent atoms are Tb at (0.000, 0.167, 0.000), Pm at (0.000, 0.000, 0.500), Pm at (0.000, 0.333, 0.500), Y at (0.247, 0.500, 0.753), Y at (0.248, 0.335, 0.247) and Th at (0.000, 0.500, 0.000).

As for the total moment: 0.00 μB per cell. For the volume, the calculation gives 32.7 A^3/atom. The value obtained for the calculated formation energy is 23 kJ/mol of formula units.

=====

Compound: Tb3PmY6Th2
Source: the Alexandria database
Functional: GGA-PBE
Structure: relaxed

The structure belongs to space group C2/m (No. 12); the cell edges are 6.213, 10.753 and 11.797 Å and the angles 90.00°, 100.13° and 90.00°. The inequivalent atoms are Tb at (0.000, 0.000, 0.000), Tb at (0.000, 0.334, 0.000), Pm at (0.000, 0.500, 0.500), Y at (0.245, 0.000, 0.748), Y at (0.248, 0.169, 0.252) and Th at (0.000, 0.167, 0.500).

As for the total moment: 0.00 μB per cell. For the volume, the calculation gives 32.3 A^3/atom. The value obtained for the calculated formation energy is 34 kJ/mol of formula units.

=====

Compound: Tb2PmY5Th
Source: the Alexandria database
Functional: GGA-PBE
Structure: relaxed

The structure belongs to space group Cmc2_1 (No. 36); the cell edges are 5.768, 21.427 and 9.749 Å and the angles 90.00°, 90.00° and 90.00°. The inequivalent atoms are Tb at (0.000, 0.112, 0.000), Tb at (0.000, 0.132, 0.613), Pm at (0.000, 0.403, 0.897), Y at (0.000, 0.014, 0.308), Y at (0.000, 0.266, 0.985), Y at (0.000, 0.305, 0.610), Y at (0.000, 0.390, 0.284), Y at (0.000, 0.472, 0.579) and Th at (0.000, 0.189, 0.299).

As for the total moment: 0.00 μB per cell. For the volume, the calculation gives 33.5 A^3/atom. The value obtained for the calculated formation energy is 137 kJ/mol of formula units.

=====

Compound: Tb6PmY2Th
Source: the Alexandria database
Functional: GGA-PBE
Structure: relaxed

The structure belongs to space group C2/c (No. 15); the cell edges are 9.319, 14.994 and 9.465 Å and the angles 90.00°, 95.77° and 90.00°. The inequivalent atoms are Tb at (0.063, 0.181, 0.439), Tb at (0.095, 0.390, 0.615), Tb at (0.208, 0.225, 0.813), Pm at (0.000, 0.032, 0.750), Y at (0.248, 0.051, 0.051) and Th at (0.000, 0.408, 0.250).

As for the total moment: 0.00 μB per cell. For the volume, the calculation gives 32.9 A^3/atom. The value obtained for the calculated formation energy is 143 kJ/mol of formula units.

=====

Compound: TbPm2YTh
Source: the Alexandria database
Functional: GGA-PBE
Structure: relaxed

The structure belongs to space group P2/c (No. 13); the cell edges are 8.390, 6.473 and 6.385 Å and the angles 90.00°, 90.32° and 90.00°. The inequivalent atoms are Tb at (0.000, 0.000, 0.000), Pm at (0.308, 0.293, 0.248), Y at (0.500, 0.184, 0.750) and Th at (0.000, 0.440, 0.750).

As for the total moment: 0.00 μB per cell. For the volume, the calculation gives 34.7 A^3/atom. The value obtained for the calculated formation energy is 145 kJ/mol of formula units.

=====

Compound: Tb3Pm2Y6Th
Source: the Alexandria database
Functional: GGA-PBE
Structure: relaxed

The structure belongs to space group C2/m (No. 12); the cell edges are 6.221, 10.765 and 11.835 Å and the angles 90.00°, 100.08° and 90.00°. The inequivalent atoms are Tb at (0.000, 0.000, 0.000), Tb at (0.000, 0.333, 0.000), Pm at (0.000, 0.167, 0.500), Y at (0.246, 0.500, 0.250), Y at (0.249, 0.335, 0.750) and Th at (0.000, 0.500, 0.500).

As for the total moment: 0.00 μB per cell. For the volume, the calculation gives 32.5 A^3/atom. The value obtained for the calculated formation energy is 31 kJ/mol of formula units.

=====

Compound: TbPmYTh
Source: the Alexandria database
Functional: GGA-PBE
Structure: relaxed

The structure belongs to space group F-43m (No. 216); the cell edges are 8.081, 8.081 and 8.081 Å and the angles 90.00°, 90.00° and 90.00°. The inequivalent atoms are Tb at (0.000, 0.000, 0.000), Pm at (0.000, 0.000, 0.500), Y at (0.250, 0.250, 0.750) and Th at (0.250, 0.250, 0.250).

As for the total moment: 0.00 μB per cell. The energy above the most stable polymorph in this dataset is 64 kJ/mol of formula units. For the volume, the calculation gives 33.0 A^3/atom. The value obtained for the calculated formation energy is 73 kJ/mol of formula units.

=====

Compound: TbPm3Y6Th2
Source: the Alexandria database
Functional: GGA-PBE
Structure: relaxed

The structure belongs to space group C2/m (No. 12); the cell edges are 6.232, 10.788 and 11.837 Å and the angles 90.00°, 100.12° and 90.00°. The inequivalent atoms are Tb at (0.000, 0.000, 0.000), Pm at (0.000, 0.166, 0.500), Pm at (0.000, 0.500, 0.500), Y at (0.244, 0.500, 0.246), Y at (0.249, 0.331, 0.755) and Th at (0.000, 0.333, 0.000).

As for the total moment: 0.00 μB per cell. For the volume, the calculation gives 32.6 A^3/atom. The value obtained for the calculated formation energy is 23 kJ/mol of formula units.

=====

Compound: TbPm6Y3Th2
Source: the Alexandria database
Functional: GGA-PBE
Structure: relaxed

The structure belongs to space group C2/m (No. 12); the cell edges are 6.256, 10.823 and 12.001 Å and the angles 90.00°, 100.02° and 90.00°. The inequivalent atoms are Tb at (0.000, 0.000, 0.000), Pm at (0.246, 0.500, 0.248), Pm at (0.249, 0.332, 0.753), Y at (0.000, 0.167, 0.500), Y at (0.000, 0.500, 0.500) and Th at (0.000, 0.334, 0.000).

As for the total moment: 0.00 μB per cell. For the volume, the calculation gives 33.3 A^3/atom. The value obtained for the calculated formation energy is 40 kJ/mol of formula units.

=====

Compound: Tb5PmY2Th
Source: the Alexandria database
Functional: GGA-PBE
Structure: relaxed

The structure belongs to space group Cmc2_1 (No. 36); the cell edges are 5.745, 21.396 and 9.850 Å and the angles 90.00°, 90.00° and 90.00°. The inequivalent atoms are Tb at (0.000, 0.015, 0.000), Tb at (0.000, 0.274, 0.698), Tb at (0.000, 0.304, 0.308), Tb at (0.000, 0.401, 0.980), Tb at (0.000, 0.468, 0.280), Pm at (0.000, 0.191, 0.001), Y at (0.000, 0.116, 0.686), Y at (0.000, 0.125, 0.304) and Th at (0.000, 0.408, 0.596).

As for the total moment: 0.00 μB per cell. For the volume, the calculation gives 33.6 A^3/atom. The value obtained for the calculated formation energy is 137 kJ/mol of formula units.

=====

Compound: TbPm2Y5Th
Source: the Alexandria database
Functional: GGA-PBE
Structure: relaxed

The structure belongs to space group I4/mcm (No. 140); the cell edges are 8.755, 8.755 and 15.429 Å and the angles 90.00°, 90.00° and 90.00°. The inequivalent atoms are Tb at (0.000, 0.500, 0.250), Pm at (0.115, 0.385, 0.000), Y at (0.000, 0.000, 0.000), Y at (0.212, 0.288, 0.362) and Th at (0.000, 0.000, 0.250).

As for the total moment: 0.00 μB per cell. For the volume, the calculation gives 32.9 A^3/atom. The value obtained for the calculated formation energy is 248 kJ/mol of formula units.

=====

Compound: Tb6PmY2Th3
Source: the Alexandria database
Functional: GGA-PBE
Structure: relaxed

The structure belongs to space group C2/m (No. 12); the cell edges are 6.204, 10.742 and 11.809 Å and the angles 90.00°, 100.11° and 90.00°. The inequivalent atoms are Tb at (0.248, 0.000, 0.245), Tb at (0.249, 0.333, 0.245), Pm at (0.000, 0.000, 0.500), Y at (0.000, 0.333, 0.500), Th at (0.000, 0.166, 0.000) and Th at (0.000, 0.500, 0.000).

As for the total moment: 0.00 μB per cell. For the volume, the calculation gives 32.3 A^3/atom. The value obtained for the calculated formation energy is 25 kJ/mol of formula units.

=====

Compound: Tb2Pm2Y6Th
Source: the Alexandria database
Functional: GGA-PBE
Structure: relaxed

The structure belongs to space group Cmmm (No. 65); the cell edges are 5.718, 12.057 and 10.643 Å and the angles 90.00°, 90.00° and 90.00°. The inequivalent atoms are Tb at (0.000, 0.202, 0.000), Pm at (0.000, 0.135, 0.500), Y at (0.000, 0.000, 0.209), Y at (0.000, 0.349, 0.289) and Th at (0.000, 0.500, 0.000).

As for the total moment: 0.00 μB per cell. For the volume, the calculation gives 33.4 A^3/atom. The value obtained for the calculated formation energy is 156 kJ/mol of formula units.

=====

Compound: TbPmThZr
Source: the Alexandria database
Functional: GGA-PBE
Structure: relaxed

The structure belongs to space group F-43m (No. 216); the cell edges are 7.797, 7.797 and 7.797 Å and the angles 90.00°, 90.00° and 90.00°. The inequivalent atoms are Tb at (0.000, 0.000, 0.000), Pm at (0.250, 0.250, 0.250), Th at (0.000, 0.000, 0.500) and Zr at (0.250, 0.250, 0.750).

As for the total moment: 0.00 μB per cell. For the volume, the calculation gives 29.6 A^3/atom. The value obtained for the calculated formation energy is 82 kJ/mol of formula units.